This record from Alexandria describes crystalline Li6Cd3Pd at its relaxed geometry. The functional is GGA-PBE.

Summary:
Total DFT energy (no corrections) (hartree per atom): -0.081
Formation energy (meV per atom): -269
Energy above the lowest structure with this stoichiometry (eV/atom): 0.000
M_tot (μB/atom): 0.000

Unit cell a=7.7448 b=4.7142 c=10.2299 alpha=90.00 beta=112.04 gamma=90.00
Space group P2_1/m (No. 11)
Asymmetric unit:
Li  0.0146  0.2500  0.1579 [2 per cell]
Li  0.1842  0.7500  0.6255 [2 per cell]
Li  0.1981  0.2500  0.9819 [2 per cell]
Li  0.3833  0.7500  0.4142 [2 per cell]
Li  0.3992  0.2500  0.2644 [2 per cell]
Li  0.4252  0.2500  0.7810 [2 per cell]
Cd  0.0088  0.2500  0.6883 [2 per cell]
Cd  0.2227  0.2500  0.4819 [2 per cell]
Cd  0.3762  0.7500  0.9290 [2 per cell]
Pd  0.1905  0.7500  0.1266 [2 per cell]


This record from Alexandria describes crystalline Li4Cd2Pd3 at its relaxed geometry. The functional is GGA-PBE.

Summary:
Total DFT energy (no corrections) (hartree per atom): -0.116
Formation energy (meV per atom): -374
Energy above the lowest structure with this stoichiometry (eV/atom): 0.022
M_tot (μB/atom): 0.000

Unit cell a=12.1820 b=4.0412 c=6.2192 alpha=90.00 beta=110.04 gamma=90.00
Space group C2/m (No. 12)
Asymmetric unit:
Li  0.0501  0.0000  0.3412 [4 per cell]
Li  0.2230  0.5000  0.3386 [4 per cell]
Cd  0.1606  0.0000  0.0040 [4 per cell]
Pd  0.0000  0.5000  0.0000 [2 per cell]
Pd  0.1123  0.5000  0.6581 [4 per cell]


This record from Alexandria describes crystalline LiCd3Pd3 at its relaxed geometry. The functional is GGA-PBE.

Summary:
Total DFT energy (no corrections) (hartree per atom): -0.119
Formation energy (meV per atom): -336
Energy above the lowest structure with this stoichiometry (eV/atom): 0.023
M_tot (μB/atom): 0.000

Unit cell a=5.9604 b=9.5880 c=9.0167 alpha=90.00 beta=90.00 gamma=90.00
Space group Cmmm (No. 65)
Asymmetric unit:
Li  0.2355  0.0000  0.0000 [4 per cell]
Cd  0.0000  0.0000  0.2927 [4 per cell]
Cd  0.0000  0.2753  0.0000 [4 per cell]
Cd  0.0000  0.3316  0.5000 [4 per cell]
Pd  0.0000  0.5000  0.2374 [4 per cell]
Pd  0.2500  0.2500  0.2535 [8 per cell]


This record from Alexandria describes crystalline Li5Cd8Pd at its relaxed geometry. The functional is GGA-PBE.

Summary:
Total DFT energy (no corrections) (hartree per atom): -0.064
Formation energy (meV per atom): -154
M_tot (μB/atom): 0.000

Unit cell a=8.2314 b=8.2314 c=8.2386 alpha=90.00 beta=90.00 gamma=90.00
Space group I-4 (No. 82)
Asymmetric unit:
Li  0.0000  0.0000  0.0000 [2 per cell]
Li  0.1215  0.2396  0.3738 [8 per cell]
Cd  0.0764  0.3328  0.0437 [8 per cell]
Cd  0.0892  0.1717  0.7106 [8 per cell]
Pd  0.0000  0.5000  0.7500 [2 per cell]


This record from Alexandria describes crystalline Li6CdPd2 at its relaxed geometry. The functional is GGA-PBE.

Summary:
Total DFT energy (no corrections) (hartree per atom): -0.104
Formation energy (meV per atom): -294
M_tot (μB/atom): 0.000

Unit cell a=13.3005 b=7.6799 c=2.7093 alpha=90.00 beta=90.41 gamma=90.00
Space group C2/m (No. 12)
Asymmetric unit:
Li  0.0000  0.1555  0.0000 [4 per cell]
Li  0.1723  0.3277  0.0059 [8 per cell]
Cd  0.0000  0.5000  0.5000 [2 per cell]
Pd  0.1666  0.0000  0.5001 [4 per cell]


This record from Alexandria describes crystalline LiCd8Pd5 at its relaxed geometry. The functional is GGA-PBE.

Summary:
Total DFT energy (no corrections) (hartree per atom): -0.102
Formation energy (meV per atom): -260
M_tot (μB/atom): 0.000

Unit cell a=8.0551 b=8.0551 c=8.2934 alpha=90.00 beta=90.00 gamma=90.00
Space group I-4 (No. 82)
Asymmetric unit:
Li  0.0000  0.0000  0.0000 [2 per cell]
Cd  0.0734  0.8310  0.3219 [8 per cell]
Cd  0.0890  0.6708  0.9764 [8 per cell]
Pd  0.0000  0.5000  0.2500 [2 per cell]
Pd  0.1278  0.7265  0.6533 [8 per cell]


This record from Alexandria describes crystalline Li3Cd2Pd3 at its relaxed geometry. The functional is GGA-PBE.

Summary:
Total DFT energy (no corrections) (hartree per atom): -0.122
Formation energy (meV per atom): -418
Energy above the lowest structure with this stoichiometry (eV/atom): 0.000
M_tot (μB/atom): 0.000

Unit cell a=4.4900 b=4.4900 c=22.2060 alpha=90.00 beta=90.00 gamma=120.00
Space group R3m (No. 160, hexagonal axes)
Asymmetric unit:
Li  0.0000  0.0000  0.0000 [3 per cell]
Li  0.0000  0.0000  0.1277 [3 per cell]
Li  0.0000  0.0000  0.6203 [3 per cell]
Cd  0.0000  0.0000  0.3732 [3 per cell]
Cd  0.0000  0.0000  0.8751 [3 per cell]
Pd  0.0000  0.0000  0.2495 [3 per cell]
Pd  0.0000  0.0000  0.4972 [3 per cell]
Pd  0.0000  0.0000  0.7501 [3 per cell]


This record from Alexandria describes crystalline Li5Cd2Pd4 at its relaxed geometry. The functional is GGA-PBE.

Summary:
Total DFT energy (no corrections) (hartree per atom): -0.118
Formation energy (meV per atom): -285
Energy above the lowest structure with this stoichiometry (eV/atom): 0.069
M_tot (μB/atom): 0.000

Unit cell a=16.9669 b=2.9292 c=7.2541 alpha=90.00 beta=103.57 gamma=90.00
Space group C2/m (No. 12)
Asymmetric unit:
Li  0.0000  0.0000  0.0000 [2 per cell]
Li  0.1176  0.5000  0.4947 [4 per cell]
Li  0.1185  0.5000  0.1379 [4 per cell]
Cd  0.1750  0.0000  0.8668 [4 per cell]
Pd  0.0276  0.5000  0.7359 [4 per cell]
Pd  0.2295  0.0000  0.3313 [4 per cell]


Repeat the fifth record exactly.
This record from Alexandria describes crystalline Li6CdPd2 at its relaxed geometry. The functional is GGA-PBE.

Summary:
Total DFT energy (no corrections) (hartree per atom): -0.104
Formation energy (meV per atom): -294
M_tot (μB/atom): 0.000

Unit cell a=13.3005 b=7.6799 c=2.7093 alpha=90.00 beta=90.41 gamma=90.00
Space group C2/m (No. 12)
Asymmetric unit:
Li  0.0000  0.1555  0.0000 [4 per cell]
Li  0.1723  0.3277  0.0059 [8 per cell]
Cd  0.0000  0.5000  0.5000 [2 per cell]
Pd  0.1666  0.0000  0.5001 [4 per cell]


Number 1 is which compound? Li6Cd3Pd


Number 1 is which compound? Li6Cd3Pd


formation energy of number 7 (Li3Cd2Pd3)? -418 meV per atom